Compound: BiOsRu2Pb
Source: Alexandria
Functional: GGA-PBE
Structure: optimized geometry

The spin magnetization comes out at 0.805 μB per atom. As for the theoretical density: 10.66 g cm⁻³. The calculation puts the calculated volume at 126 Å³/cell. As for the formation enthalpy at 0 K: 2147 meV per atom. The total energy comes out at -5.33 eV per atom.

The space group is P4/mmm (No. 123) and the conventional cell measures 5.004, 5.004 and 5.030 Å, with angles of 90.00, 90.00 and 90.00 degrees. The asymmetric unit holds Bi at (0.000, 0.000, 0.000), Os at (0.500, 0.500, 0.000), Ru at (0.000, 0.500, 0.500) and Pb at (0.500, 0.500, 0.500).

***

Compound: VBiOsPb2
Source: Alexandria
Functional: GGA-PBE
Structure: optimized geometry

The spin magnetization comes out at 0.491 μB per atom. As for the theoretical density: 8.35 g cm⁻³. The calculation puts the calculated volume at 172 Å³/cell. As for the formation enthalpy at 0 K: 2231 meV per atom. The total energy comes out at -4.10 eV per atom.

The space group is P4/mmm (No. 123) and the conventional cell measures 5.853, 5.853 and 5.020 Å, with angles of 90.00, 90.00 and 90.00 degrees. The asymmetric unit holds V at (0.000, 0.000, 0.000), Bi at (0.000, 0.000, 0.500), Os at (0.500, 0.500, 0.000) and Pb at (0.000, 0.500, 0.500).

***

Compound: BiOs2PbW
Source: Alexandria
Functional: GGA-PBE
Structure: optimized geometry

The spin magnetization comes out at 0.483 μB per atom. As for the theoretical density: 12.83 g cm⁻³. The calculation puts the calculated volume at 127 Å³/cell. As for the formation enthalpy at 0 K: 2804 meV per atom. The total energy comes out at -5.80 eV per atom.

The space group is P4/mmm (No. 123) and the conventional cell measures 4.982, 4.982 and 5.111 Å, with angles of 90.00, 90.00 and 90.00 degrees. The asymmetric unit holds Bi at (0.000, 0.000, 0.000), Os at (0.000, 0.500, 0.500), Pb at (0.500, 0.500, 0.500) and W at (0.500, 0.500, 0.000).

***

Compound: Zn2BiOsPb
Source: Alexandria
Functional: GGA-PBE
Structure: optimized geometry

The spin magnetization comes out at 0.000 μB per atom. As for the theoretical density: 9.61 g cm⁻³. The calculation puts the calculated volume at 127 Å³/cell. As for the formation enthalpy at 0 K: 501 meV per atom. The total energy comes out at -3.77 eV per atom.

The space group is P4/mmm (No. 123) and the conventional cell measures 4.957, 4.957 and 5.183 Å, with angles of 90.00, 90.00 and 90.00 degrees. The asymmetric unit holds Zn at (0.000, 0.500, 0.000), Bi at (0.000, 0.000, 0.500), Os at (0.000, 0.000, 0.000) and Pb at (0.500, 0.500, 0.500).

***

Compound: Bi2OsPd
Source: Alexandria
Functional: GGA-PBE
Structure: optimized geometry

The spin magnetization comes out at 0.000 μB per atom. As for the theoretical density: 14.33 g cm⁻³. The value obtained for the energy relative to the lowest polymorph listed for this composition is 0 meV/atom. The calculation puts the calculated volume at 331 Å³/cell. As for the formation enthalpy at 0 K: 497 meV per atom. The total energy comes out at -5.55 eV per atom.

The space group is Fm-3m (No. 225) and the conventional cell measures 6.918, 6.918 and 6.918 Å, with angles of 90.00, 90.00 and 90.00 degrees. The asymmetric unit holds Bi at (0.250, 0.250, 0.250), Os at (0.000, 0.000, 0.000) and Pd at (0.000, 0.000, 0.500).

***

Compound: BiOs3Pd
Source: Alexandria
Functional: GGA-PBE
Structure: optimized geometry

The spin magnetization comes out at 0.633 μB per atom. As for the theoretical density: 13.57 g cm⁻³. The value obtained for the energy relative to the lowest polymorph listed for this composition is 0 meV/atom. The calculation puts the calculated volume at 108 Å³/cell. As for the formation enthalpy at 0 K: 2399 meV per atom. The total energy comes out at -6.15 eV per atom.

The space group is Pm-3m (No. 221) and the conventional cell measures 4.768, 4.768 and 4.768 Å, with angles of 90.00, 90.00 and 90.00 degrees. The asymmetric unit holds Bi at (0.000, 0.000, 0.000), Os at (0.000, 0.500, 0.500) and Pd at (0.500, 0.500, 0.500).

***

Compound: Bi2OsPd
Source: Alexandria
Functional: GGA-PBE
Structure: optimized geometry

The spin magnetization comes out at 0.000 μB per atom. As for the theoretical density: 10.09 g cm⁻³. The value obtained for the energy relative to the lowest polymorph listed for this composition is 217 meV/atom. The calculation puts the calculated volume at 470 Å³/cell. As for the formation enthalpy at 0 K: 714 meV per atom. The total energy comes out at -5.33 eV per atom.

The space group is I-42d (No. 122) and the conventional cell measures 6.404, 6.404 and 11.472 Å, with angles of 90.00, 90.00 and 90.00 degrees. The asymmetric unit holds Bi at (0.240, 0.250, 0.125), Os at (0.000, 0.000, 0.000) and Pd at (0.000, 0.000, 0.500).

***

Compound: BiOs2PdRh
Source: Alexandria
Functional: GGA-PBE
Structure: optimized geometry

The spin magnetization comes out at 0.784 μB per atom. As for the theoretical density: 10.89 g cm⁻³. The calculation puts the calculated volume at 122 Å³/cell. As for the formation enthalpy at 0 K: 2560 meV per atom. The total energy comes out at -5.22 eV per atom.

The space group is P4/mmm (No. 123) and the conventional cell measures 4.984, 4.984 and 4.901 Å, with angles of 90.00, 90.00 and 90.00 degrees. The asymmetric unit holds Bi at (0.000, 0.000, 0.000), Os at (0.000, 0.500, 0.000), Pd at (0.500, 0.500, 0.500) and Rh at (0.000, 0.000, 0.500).

***

Compound: YBiOs2Pd
Source: Alexandria
Functional: GGA-PBE
Structure: optimized geometry

The spin magnetization comes out at 0.406 μB per atom. As for the theoretical density: 9.62 g cm⁻³. The calculation puts the calculated volume at 136 Å³/cell. As for the formation enthalpy at 0 K: 2298 meV per atom. The total energy comes out at -5.30 eV per atom.

The space group is P4/mmm (No. 123) and the conventional cell measures 4.890, 4.890 and 5.667 Å, with angles of 90.00, 90.00 and 90.00 degrees. The asymmetric unit holds Y at (0.000, 0.000, 0.000), Bi at (0.000, 0.000, 0.500), Os at (0.000, 0.500, 0.000) and Pd at (0.500, 0.500, 0.500).

***

Compound: Pm4Bi2Os
Source: Alexandria
Functional: GGA-PBE
Structure: optimized geometry

The spin magnetization comes out at 0.000 μB per atom. As for the theoretical density: 8.22 g cm⁻³. The calculation puts the calculated volume at 480 Å³/cell. As for the formation enthalpy at 0 K: -371 meV per atom. The total energy comes out at -5.80 eV per atom.

The space group is I4/mmm (No. 139) and the conventional cell measures 5.360, 5.360 and 16.716 Å, with angles of 90.00, 90.00 and 90.00 degrees. The asymmetric unit holds Pm at (0.000, 0.000, 0.169), Pm at (0.000, 0.500, 0.000), Bi at (0.000, 0.000, 0.362) and Os at (0.000, 0.000, 0.000).

***

Compound: Pm5BiOs
Source: Alexandria
Functional: GGA-PBE
Structure: optimized geometry

The spin magnetization comes out at 0.000 μB per atom. As for the theoretical density: 8.46 g cm⁻³. The calculation puts the calculated volume at 883 Å³/cell. As for the formation enthalpy at 0 K: -163 meV per atom. The total energy comes out at -5.72 eV per atom.

The space group is C2/c (No. 15) and the conventional cell measures 11.096, 7.094 and 11.748 Å, with angles of 90.00, 107.24 and 90.00 degrees. The asymmetric unit holds Pm at (0.000, 0.027, 0.250), Pm at (0.121, 0.333, 0.039), Pm at (0.216, 0.191, 0.639), Bi at (0.000, 0.469, 0.750) and Os at (0.000, 0.000, 0.000).

***

Compound: Pm8Bi2Os
Source: Alexandria
Functional: GGA-PBE
Structure: optimized geometry

The spin magnetization comes out at 0.000 μB per atom. As for the theoretical density: 8.44 g cm⁻³. The calculation puts the calculated volume at 696 Å³/cell. As for the formation enthalpy at 0 K: -322 meV per atom. The total energy comes out at -5.50 eV per atom.

The space group is C2/m (No. 12) and the conventional cell measures 19.676, 4.786 and 7.481 Å, with angles of 90.00, 98.98 and 90.00 degrees. The asymmetric unit holds Pm at (0.004, 0.000, 0.279), Pm at (0.094, 0.500, 0.007), Pm at (0.140, 0.500, 0.534), Pm at (0.216, 0.000, 0.848), Bi at (0.182, 0.000, 0.274) and Os at (0.000, 0.500, 0.500).

***

Compound: Pm6Bi2Os
Source: Alexandria
Functional: GGA-PBE
Structure: optimized geometry

The spin magnetization comes out at 0.000 μB per atom. As for the theoretical density: 9.00 g cm⁻³. The calculation puts the calculated volume at 545 Å³/cell. As for the formation enthalpy at 0 K: -491 meV per atom. The total energy comes out at -5.77 eV per atom.

The space group is Amm2 (No. 38) and the conventional cell measures 4.249, 14.885 and 8.620 Å, with angles of 90.00, 90.00 and 90.00 degrees. The asymmetric unit holds Pm at (0.000, 0.000, 0.000), Pm at (0.000, 0.117, 0.644), Pm at (0.500, 0.000, 0.364), Pm at (0.500, 0.198, 0.960), Bi at (0.000, 0.167, 0.262) and Os at (0.500, 0.000, 0.767).

***

Compound: PmBiOs
Source: Alexandria
Functional: GGA-PBE
Structure: optimized geometry

The spin magnetization comes out at 0.000 μB per atom. As for the theoretical density: 11.45 g cm⁻³. The calculation puts the calculated volume at 158 Å³/cell. As for the formation enthalpy at 0 K: -24 meV per atom. The total energy comes out at -6.64 eV per atom.

The space group is P4/nmm (No. 129, origin choice 2) and the conventional cell measures 3.287, 3.287 and 14.606 Å, with angles of 90.00, 90.00 and 90.00 degrees. The asymmetric unit holds Pm at (0.250, 0.250, 0.191), Bi at (0.250, 0.250, 0.630) and Os at (0.250, 0.250, 0.962).

***

Compound: Pr8Bi2Os
Source: Alexandria
Functional: GGA-PBE
Structure: optimized geometry

The spin magnetization comes out at 0.000 μB per atom. As for the theoretical density: 7.90 g cm⁻³. The calculation puts the calculated volume at 729 Å³/cell. As for the formation enthalpy at 0 K: -314 meV per atom. The total energy comes out at -5.52 eV per atom.

The space group is C2/m (No. 12) and the conventional cell measures 19.852, 4.816 and 7.720 Å, with angles of 90.00, 98.87 and 90.00 degrees. The asymmetric unit holds Pr at (0.004, 0.000, 0.281), Pr at (0.093, 0.500, 0.008), Pr at (0.141, 0.500, 0.533), Pr at (0.215, 0.000, 0.850), Bi at (0.182, 0.000, 0.271) and Os at (0.000, 0.500, 0.500).

***

Compound: Pr4BiOs
Source: Alexandria
Functional: GGA-PBE
Structure: optimized geometry

The spin magnetization comes out at 0.000 μB per atom. As for the theoretical density: 8.34 g cm⁻³. The calculation puts the calculated volume at 767 Å³/cell. As for the formation enthalpy at 0 K: -359 meV per atom. The total energy comes out at -6.06 eV per atom.

The space group is C2/c (No. 15) and the conventional cell measures 9.217, 14.050 and 6.427 Å, with angles of 90.00, 112.80 and 90.00 degrees. The asymmetric unit holds Pr at (0.109, 0.169, 0.065), Pr at (0.222, 0.429, 0.353), Bi at (0.000, 0.373, 0.750) and Os at (0.000, 0.000, 0.250).

***

Compound: BiOsPt3
Source: Alexandria
Functional: GGA-PBE
Structure: optimized geometry

The spin magnetization comes out at 0.000 μB per atom. As for the theoretical density: 14.24 g cm⁻³. The value obtained for the energy relative to the lowest polymorph listed for this composition is 0 meV/atom. The calculation puts the calculated volume at 115 Å³/cell. As for the formation enthalpy at 0 K: 986 meV per atom. The total energy comes out at -5.66 eV per atom.

The space group is Pm-3m (No. 221) and the conventional cell measures 4.860, 4.860 and 4.860 Å, with angles of 90.00, 90.00 and 90.00 degrees. The asymmetric unit holds Bi at (0.000, 0.000, 0.000), Os at (0.500, 0.500, 0.500) and Pt at (0.000, 0.500, 0.500).

***

Compound: BiOs3Pt
Source: Alexandria
Functional: GGA-PBE
Structure: optimized geometry

The spin magnetization comes out at 0.000 μB per atom. As for the theoretical density: 14.65 g cm⁻³. The value obtained for the energy relative to the lowest polymorph listed for this composition is 0 meV/atom. The calculation puts the calculated volume at 111 Å³/cell. As for the formation enthalpy at 0 K: 2258 meV per atom. The total energy comes out at -6.46 eV per atom.

The space group is Pm-3m (No. 221) and the conventional cell measures 4.799, 4.799 and 4.799 Å, with angles of 90.00, 90.00 and 90.00 degrees. The asymmetric unit holds Bi at (0.000, 0.000, 0.000), Os at (0.000, 0.500, 0.500) and Pt at (0.500, 0.500, 0.500).

***

Compound: BiOs2Pt
Source: Alexandria
Functional: GGA-PBE
Structure: optimized geometry

The spin magnetization comes out at 0.000 μB per atom. As for the theoretical density: 12.83 g cm⁻³. The calculation puts the calculated volume at 406 Å³/cell. As for the formation enthalpy at 0 K: 1432 meV per atom. The total energy comes out at -6.66 eV per atom.

The space group is I-42d (No. 122) and the conventional cell measures 5.673, 5.673 and 12.621 Å, with angles of 90.00, 90.00 and 90.00 degrees. The asymmetric unit holds Bi at (0.000, 0.000, 0.000), Os at (0.204, 0.250, 0.625) and Pt at (0.000, 0.000, 0.500).

***

Compound: Bi2SbOsPt
Source: Alexandria
Functional: GGA-PBE
Structure: optimized geometry

The spin magnetization comes out at 0.206 μB per atom. As for the theoretical density: 9.75 g cm⁻³. As for the raw formation energy: 1.714 eV/atom. The calculation puts the calculated volume at 158 Å³/cell. The total energy comes out at -4.12 eV per atom.

The space group is P4/mmm (No. 123) and the conventional cell measures 5.713, 5.713 and 4.826 Å, with angles of 90.00, 90.00 and 90.00 degrees. The asymmetric unit holds Bi at (0.000, 0.500, 0.000), Sb at (0.000, 0.000, 0.000), Os at (0.000, 0.000, 0.500) and Pt at (0.500, 0.500, 0.500).